[1]
The following is a PBE calculation of a geometry-optimized CsDy2As2S6 structure, from the Alexandria database.

Computed properties:
* formation energy without anion corrections: -1.025 eV per atom
* spin magnetization: 0.00 μB per formula unit

Cell lengths 7.4234, 7.7022, 8.0630 Å; angles 89.95, 63.50, 61.81 degrees
Closest atoms and distances in Å follow each position.
Space group P-1 (No. 2)
Symmetry-distinct sites (fractional):
Cs  0.0000  0.0000  0.0000 [1 per cell]  6 S 3.50-3.76
Dy  0.3679  0.3126  0.9711 [2 per cell]  6 S 2.69-2.83
As  0.0050  0.3406  0.5580 [2 per cell]  2 S 2.35, 1 As 2.61
S  0.0902  0.3752  0.7999 [2 per cell]  1 As 2.35
S  0.2861  0.0806  0.2146 [2 per cell]  1 As 2.63, 2 Dy 2.69-2.71
S  0.4079  0.4929  0.2404 [2 per cell]  1 As 2.35

=====

[2]
The following is a PBE calculation of a geometry-optimized CsDy2As2Se6 structure, from the Alexandria database.

Computed properties:
* formation energy without anion corrections: -0.955 eV per atom
* spin magnetization: 0.00 μB per formula unit

Cell lengths 7.8889, 7.9742, 8.0678 Å; angles 99.64, 118.07, 108.47 degrees
Closest atoms and distances in Å follow each position.
Space group P-1 (No. 2)
Symmetry-distinct sites (fractional):
Cs  0.0000  0.0000  0.0000 [1 per cell]  6 Se 3.62-3.84
Dy  0.3748  0.0345  0.6628 [2 per cell]  6 Se 2.77-3.06
As  0.0021  0.5195  0.3469 [2 per cell]  2 Se 2.44-2.52, 1 As 2.56
Se  0.0745  0.2066  0.6470 [2 per cell]  1 As 2.44
Se  0.3143  0.8027  0.9043 [2 per cell]  1 As 2.52
Se  0.4423  0.7474  0.4962 [2 per cell]  2 Dy 2.77-2.78, 1 As 2.85

=====

[3]
The following is a PBE calculation of a geometry-optimized CsErAs structure, from the Alexandria database.

Computed properties:
* spin magnetization: 0.00 μB per formula unit
* formation enthalpy at 0 K: -0.679 eV per atom

Cell lengths 4.7169, 4.7169, 19.3831 Å; angles 90.00, 90.00, 90.00 degrees
Closest atoms and distances in Å follow each position.
Space group I4/mmm (No. 139)
Symmetry-distinct sites (fractional):
Cs  0.0000  0.0000  0.1801 [4 per cell]  4 As 3.71
Er  0.0000  0.5000  0.0000 [4 per cell]  4 As 3.00, 4 Er 3.34
As  0.0000  0.0000  0.4043 [4 per cell]  4 Er 3.00

=====

[4]
The following is a PBE calculation of a geometry-optimized CsErAs structure, from the Alexandria database.

Computed properties:
* spin magnetization: 0.00 μB per formula unit
* formation enthalpy at 0 K: -0.506 eV per atom

Cell lengths 4.4220, 4.4220, 8.0323 Å; angles 90.00, 90.00, 120.00 degrees
Closest atoms and distances in Å follow each position.
Space group P3m1 (No. 156)
Symmetry-distinct sites (fractional):
Cs  0.0000  0.0000  0.0000 [1 per cell]  3 As 3.70
Er  0.6667  0.3333  0.5358 [1 per cell]  3 As 2.76
As  0.3333  0.6667  0.6671 [1 per cell]  3 Er 2.76

=====

[5]
The following is a PBE calculation of a geometry-optimized Cs3ErAs2O8 structure, from the Alexandria database.

Computed properties:
* formation energy without anion corrections: -2.004 eV per atom
* spin magnetization: 0.00 μB per formula unit

Cell lengths 6.0170, 6.0170, 8.7636 Å; angles 90.00, 90.00, 120.00 degrees
Closest atoms and distances in Å follow each position.
Space group P-3m1 (No. 164)
Symmetry-distinct sites (fractional):
Cs  0.0000  0.0000  0.0000 [1 per cell]  12 O 3.57-3.60
Cs  0.3333  0.6667  0.7602 [2 per cell]  7 O 2.93-3.17
Er  0.0000  0.0000  0.5000 [1 per cell]  6 O 2.24
As  0.3333  0.6667  0.2881 [2 per cell]  4 O 1.70-1.73
O  0.1762  0.3525  0.3527 [6 per cell]  1 As 1.73
O  0.3333  0.6667  0.0942 [2 per cell]  1 As 1.70

=====

[6]
The following is a PBE calculation of a geometry-optimized CsEuAs structure, from the Alexandria database.

Computed properties:
* spin magnetization: 6.99 μB per formula unit
* formation enthalpy at 0 K: -0.588 eV per atom

Cell lengths 4.1872, 4.1872, 13.9634 Å; angles 90.00, 90.00, 90.00 degrees
Closest atoms and distances in Å follow each position.
Space group I4mm (No. 107)
Symmetry-distinct sites (fractional):
Cs  0.0000  0.0000  0.0000 [2 per cell]  1 Eu 3.42
Eu  0.0000  0.0000  0.2450 [2 per cell]  4 As 3.04
As  0.0000  0.0000  0.6961 [2 per cell]  4 Eu 3.04

=====

[7]
The following is a PBE calculation of a geometry-optimized CsEuAsS3 structure, from the Alexandria database.

Computed properties:
* formation energy without anion corrections: -1.155 eV per atom
* spin magnetization: 7.00 μB per formula unit

Cell lengths 9.6043, 8.4111, 9.0295 Å; angles 90.00, 102.32, 90.00 degrees
Closest atoms and distances in Å follow each position.
Space group P2_1/c (No. 14)
Symmetry-distinct sites (fractional):
Cs  0.0925  0.0688  0.2324 [4 per cell]  7 S 3.55-3.74, 2 As 3.89-3.93
Eu  0.4456  0.7218  0.4683 [4 per cell]  6 S 2.94-3.08
As  0.2954  0.0488  0.6589 [4 per cell]  3 S 2.25-2.31
S  0.1889  0.6825  0.0743 [4 per cell]  1 As 2.25
S  0.2691  0.0736  0.9020 [4 per cell]  1 As 2.27
S  0.4677  0.0253  0.2854 [4 per cell]  1 As 2.31

=====

[8]
The following is a PBE calculation of a geometry-optimized CsAsF2 structure, from the Alexandria database.

Computed properties:
* formation energy without anion corrections: -1.338 eV per atom
* spin magnetization: 0.00 μB per formula unit

Cell lengths 5.3311, 5.3311, 14.2329 Å; angles 90.00, 90.00, 90.00 degrees
Closest atoms and distances in Å follow each position.
Space group I-42d (No. 122)
Symmetry-distinct sites (fractional):
Cs  0.0000  0.0000  0.0000 [4 per cell]  4 F 3.11
As  0.0000  0.0000  0.5000 [4 per cell]  4 F 2.28
F  0.0913  0.2500  0.6250 [8 per cell]  2 As 2.28

=====

[9]
The following is a PBE calculation of a geometry-optimized CsAsF2 structure, from the Alexandria database.

Computed properties:
* formation energy without anion corrections: -1.659 eV per atom
* spin magnetization: 0.27 μB per formula unit

Cell lengths 3.8434, 3.8434, 23.3779 Å; angles 90.00, 90.00, 120.00 degrees
Closest atoms and distances in Å follow each position.
Space group R-3m (No. 166, hexagonal axes)
Symmetry-distinct sites (fractional):
Cs  0.0000  0.0000  0.0000 [3 per cell]  6 F 2.89
As  0.0000  0.0000  0.5000 [3 per cell]  2 F 2.04
F  0.0000  0.0000  0.4127 [6 per cell]  1 As 2.04

=====

[10]
The following is a PBE calculation of a geometry-optimized Cs6As2F structure, from the Alexandria database.

Computed properties:
* formation energy without anion corrections: -0.769 eV per atom
* spin magnetization: 1.11 μB per formula unit

Cell lengths 7.7356, 9.8755, 13.6386 Å; angles 90.00, 123.06, 90.00 degrees
Closest atoms and distances in Å follow each position.
Space group P2_1/c (No. 14)
Symmetry-distinct sites (fractional):
Cs  0.1187  0.1439  0.4419 [4 per cell]  1 F 2.97
Cs  0.3057  0.6949  0.4377 [4 per cell]  1 F 3.27
Cs  0.3461  0.0286  0.2522 [4 per cell]  1 F 2.92
As  0.2150  0.1186  0.7578 [4 per cell]  8 Cs 3.62-3.96
F  0.5000  0.0000  0.5000 [2 per cell]  6 Cs 2.92-3.27

=====

[11]
The following is a PBE calculation of a geometry-optimized Cs2AsF structure, from the Alexandria database.

Computed properties:
* formation energy without anion corrections: -0.867 eV per atom
* spin magnetization: 2.00 μB per formula unit

Cell lengths 8.0837, 8.0837, 8.0837 Å; angles 90.00, 90.00, 90.00 degrees
Closest atoms and distances in Å follow each position.
Space group Fm-3m (No. 225)
Symmetry-distinct sites (fractional):
Cs  0.2500  0.2500  0.2500 [8 per cell]  4 F 3.50, 4 As 3.50
As  0.0000  0.0000  0.0000 [4 per cell]  8 Cs 3.50
F  0.0000  0.0000  0.5000 [4 per cell]  8 Cs 3.50

=====

[12]
The following is a PBE calculation of a geometry-optimized Cs3AsF7 structure, from the Alexandria database.

Computed properties:
* formation energy without anion corrections: -2.498 eV per atom
* spin magnetization: 1.03 μB per formula unit

Cell lengths 8.6541, 8.6541, 6.3965 Å; angles 90.00, 90.00, 90.00 degrees
Closest atoms and distances in Å follow each position.
Space group P4/mbm (No. 127)
Symmetry-distinct sites (fractional):
Cs  0.0000  0.0000  0.0000 [2 per cell]  6 F 3.20-3.26
Cs  0.1937  0.3063  0.5000 [4 per cell]  10 F 3.01-3.28
As  0.0000  0.5000  0.0000 [2 per cell]  6 F 1.92-1.93
F  0.0000  0.0000  0.5000 [2 per cell]  6 Cs 3.14-3.20
F  0.1098  0.6098  0.2159 [8 per cell]  1 As 1.93
F  0.1572  0.3428  0.0000 [4 per cell]  1 As 1.92